[1]
Crystalline NdHo2MgPd4 at its relaxed geometry. Source: the Alexandria database, functional PBE-GGA.

abc: 4.8621 4.8621 24.4749
angles: 90.00 90.00 120.00
Space group R-3m (No. 166, hexagonal axes)
One atom of each set of equivalent atoms:
Nd  0.0000  0.0000  0.0000
Ho  0.0000  0.0000  0.2433
Mg  0.0000  0.0000  0.5000
Pd  0.0000  0.0000  0.1258
Pd  0.0000  0.0000  0.3848

## Properties
Formation enthalpy at 0 K = -803 meV/atom
VASP energy = -5.339 eV per atom



[2]
Crystalline PmNd4Ho2Mg at its relaxed geometry. Source: the Alexandria database, functional PBE-GGA.

abc: 5.087 5.087 10.057
angles: 90.00 90.00 90.00
Space group P4/mmm (No. 123)
One atom of each set of equivalent atoms:
Pm  0.000  0.000  0.000
Nd  0.000  0.500  0.256
Ho  0.000  0.000  0.500
Ho  0.500  0.500  0.000
Mg  0.500  0.500  0.500

## Properties
Formation enthalpy at 0 K = 5 meV/atom
VASP energy = -4.316 eV per atom



[3]
Crystalline Pm2Nd4HoMg at its relaxed geometry. Source: the Alexandria database, functional PBE-GGA.

abc: 5.084 5.084 10.183
angles: 90.00 90.00 90.00
Space group P4/mmm (No. 123)
One atom of each set of equivalent atoms:
Pm  0.000  0.000  0.000
Pm  0.500  0.500  0.500
Nd  0.000  0.500  0.247
Ho  0.000  0.000  0.500
Mg  0.500  0.500  0.000

## Properties
Formation enthalpy at 0 K = 7 meV/atom
VASP energy = -4.336 eV per atom



[4]
Crystalline Pm4Nd2HoMg at its relaxed geometry. Source: the Alexandria database, functional PBE-GGA.

abc: 5.060 5.060 10.219
angles: 90.00 90.00 90.00
Space group P4/mmm (No. 123)
One atom of each set of equivalent atoms:
Pm  0.000  0.500  0.248
Nd  0.000  0.000  0.000
Nd  0.500  0.500  0.500
Ho  0.000  0.000  0.500
Mg  0.500  0.500  0.000

## Properties
Formation enthalpy at 0 K = 12 meV/atom
VASP energy = -4.327 eV per atom



[5]
Crystalline PmNdHoMg at its relaxed geometry. Source: the Alexandria database, functional PBE-GGA.

abc: 3.676 3.676 9.184
angles: 90.00 90.00 90.00
Space group P4mm (No. 99)
One atom of each set of equivalent atoms:
Pm  0.000  0.000  0.000
Nd  0.500  0.500  0.278
Ho  0.000  0.000  0.545
Mg  0.500  0.500  0.766

## Properties
Formation enthalpy at 0 K = -31 meV/atom
VASP energy = -3.954 eV per atom
E above lowest polymorph = 0 meV per atom



[6]
Crystalline PmNdHoMg at its relaxed geometry. Source: the Alexandria database, functional PBE-GGA.

abc: 7.908 7.908 7.908
angles: 90.00 90.00 90.00
Space group F-43m (No. 216)
One atom of each set of equivalent atoms:
Pm  0.000  0.000  0.000
Nd  0.000  0.000  0.500
Ho  0.250  0.250  0.750
Mg  0.250  0.250  0.250

## Properties
Formation enthalpy at 0 K = 21 meV/atom
VASP energy = -3.902 eV per atom
E above lowest polymorph = 52 meV per atom



[7]
Crystalline PmNd2HoMg at its relaxed geometry. Source: the Alexandria database, functional PBE-GGA.

abc: 5.964 7.458 7.377
angles: 90.00 90.00 90.00
Space group Pmma (No. 51)
One atom of each set of equivalent atoms:
Pm  0.250  0.000  0.157
Nd  0.250  0.218  0.689
Ho  0.250  0.500  0.370
Mg  0.000  0.500  0.000

## Properties
Formation enthalpy at 0 K = 157 meV/atom
VASP energy = -3.935 eV per atom



[8]
Crystalline Pm2NdHoMg at its relaxed geometry. Source: the Alexandria database, functional PBE-GGA.

abc: 6.702 5.607 8.745
angles: 90.00 103.23 90.00
Space group P2_1/m (No. 11)
One atom of each set of equivalent atoms:
Pm  0.042  0.250  0.355
Pm  0.121  0.750  0.071
Nd  0.458  0.250  0.147
Ho  0.377  0.750  0.442
Mg  0.257  0.250  0.744

## Properties
Formation enthalpy at 0 K = 13 meV/atom
VASP energy = -4.076 eV per atom



[9]
Crystalline Pm4NdHo2Mg at its relaxed geometry. Source: the Alexandria database, functional PBE-GGA.

abc: 5.842 5.842 7.585
angles: 90.00 90.00 90.00
Space group P4/mmm (No. 123)
One atom of each set of equivalent atoms:
Pm  0.000  0.500  0.244
Nd  0.000  0.000  0.000
Ho  0.000  0.000  0.500
Ho  0.500  0.500  0.500
Mg  0.500  0.500  0.000

## Properties
Formation enthalpy at 0 K = 66 meV/atom
VASP energy = -4.249 eV per atom



[10]
Crystalline Pm6NdHo2Mg at its relaxed geometry. Source: the Alexandria database, functional PBE-GGA.

abc: 10.324 13.753 9.508
angles: 90.00 101.07 90.00
Space group C2/c (No. 15)
One atom of each set of equivalent atoms:
Pm  0.054  0.119  0.096
Pm  0.092  0.330  0.926
Pm  0.249  0.285  0.329
Nd  0.000  0.436  0.250
Ho  0.235  0.466  0.594
Mg  0.000  0.098  0.750

## Properties
Formation enthalpy at 0 K = 106 meV/atom
VASP energy = -4.296 eV per atom



[11]
Crystalline Pm6Nd2HoMg at its relaxed geometry. Source: the Alexandria database, functional PBE-GGA.

abc: 9.275 15.206 9.549
angles: 90.00 96.93 90.00
Space group C2/c (No. 15)
One atom of each set of equivalent atoms:
Pm  0.053  0.182  0.448
Pm  0.106  0.394  0.612
Pm  0.213  0.215  0.803
Nd  0.243  0.450  0.953
Ho  0.000  0.020  0.750
Mg  0.000  0.411  0.250

## Properties
Formation enthalpy at 0 K = 109 meV/atom
VASP energy = -4.312 eV per atom



[12]
Crystalline Pm5Nd2HoMg at its relaxed geometry. Source: the Alexandria database, functional PBE-GGA.

abc: 5.555 20.273 10.770
angles: 90.00 90.00 90.00
Space group Cmc2_1 (No. 36)
One atom of each set of equivalent atoms:
Pm  0.000  0.000  0.000
Pm  0.000  0.121  0.251
Pm  0.000  0.211  0.949
Pm  0.000  0.212  0.553
Pm  0.000  0.485  0.251
Nd  0.000  0.385  0.540
Nd  0.000  0.385  0.961
Ho  0.000  0.299  0.251
Mg  0.000  0.095  0.749

## Properties
Formation enthalpy at 0 K = 87 meV/atom
VASP energy = -4.297 eV per atom